PBE+U PuCrRhO6, optimized geometry; total energy = -8.319 eV/atom; magnetic moment = 5.000 μB per formula unit; crystal system = trigonal; DOS(E_F) = 10.24 states/eV/cell
1.0
5.244 0.000 0.000
-2.622 4.542 0.000
0.000 0.000 8.717
O Pu Cr Rh
12 2 2 2
Cartesian
3.493 0.052 7.616 O
0.871 4.490 3.257 O
1.751 0.052 5.459 O
0.920 1.490 7.616 O
0.831 1.542 3.257 O
3.453 3.000 7.616 O
-0.871 4.490 1.101 O
1.702 3.051 1.101 O
-0.831 1.542 1.101 O
-1.702 3.051 3.257 O
4.324 1.490 5.459 O
1.792 3.000 5.459 O
2.622 1.514 2.179 Pu
0.000 3.028 6.538 Pu
0.000 3.028 2.179 Cr
2.622 1.514 6.538 Cr
0.000 0.000 0.000 Rh
0.000 0.000 4.358 Rh